A plane-wave DFT calculation with PBE was carried out for a geometry-optimized SiPOsRuC structure. Values from VASP.

Theoretical density ... 8.48 g/cm3
Total magnetization ... 0.00 Bohr magnetons per cell
DOS at the Fermi energy ... 1.54 states/eV per cell
Final energy ... -7.84 eV/atom
Formation energy from raw total energies ... 0.27 eV per atom
Energy relative to the lowest polymorph listed for this composition ... 221 meV per atom

Cell and atoms, written as Quantum ESPRESSO input:
```
&SYSTEM
  ibrav = 0, nat = 5, ntyp = 5
/
ATOMIC_SPECIES
Ru 101.07 Ru.upf
P 30.97 P.upf
Si 28.09 Si.upf
C 12.01 C.upf
Os 190.23 Os.upf
CELL_PARAMETERS angstrom
-0.6284 -2.8165 -2.4548
2.3286 -3.4651 0.5972
-3.4639 -2.4633 2.5785
ATOMIC_POSITIONS angstrom
Ru 0.0948 -3.0407 -1.4373
P -1.0607 -5.2632 0.4637
Si -1.6387 -4.7646 2.8329
C -0.1503 -1.9208 0.2735
Os -1.5918 -3.0477 0.9501
```